No. 1
Here is crystalline LaYI2N at its relaxed geometry from Alexandria via LeMat-Bulk. Energies are from PBE-GGA.

**Crystal system**: tetragonal
**Raw total energy**: -0.183 hartree per atom
**Formation energy (no corrections)**: -39.0 kJ/mol of atoms

Structure (extended XYZ):
```
5
Lattice="6.4748 0.0000 0.0000 0.0000 6.4748 0.0000 0.0000 0.0000 4.1460" Properties=species:S:1:pos:R:3 pbc="T T T"
La 0.0000 0.0000 0.0000
Y 3.2374 3.2374 2.0730
I 0.0000 3.2374 0.0000
I 3.2374 0.0000 0.0000
N 0.0000 0.0000 2.0730
```

***

No. 2
Here is crystalline LaYI2N at its relaxed geometry from Alexandria via LeMat-Bulk. Energies are from PBE-GGA.

**Crystal system**: tetragonal
**Raw total energy**: -0.188 hartree per atom
**Formation energy (no corrections)**: -54.0 kJ/mol of atoms

Structure (extended XYZ):
```
5
Lattice="6.0750 0.0000 0.0000 0.0000 6.0750 0.0000 0.0000 0.0000 4.2188" Properties=species:S:1:pos:R:3 pbc="T T T"
La 0.0000 0.0000 0.0000
Y 3.0375 3.0375 2.1094
I 0.0000 3.0375 2.1094
I 3.0375 0.0000 2.1094
N 3.0375 3.0375 0.0000
```

***

No. 3
Here is crystalline LaZnIN2 at its relaxed geometry from Alexandria via LeMat-Bulk. Energies are from PBE-GGA.

**Crystal system**: tetragonal
**Raw total energy**: -0.125 hartree per atom
**Formation energy (no corrections)**: 141.5 kJ/mol of atoms

Structure (extended XYZ):
```
5
Lattice="4.4055 0.0000 0.0000 0.0000 4.4055 0.0000 0.0000 0.0000 5.9026" Properties=species:S:1:pos:R:3 pbc="T T T"
La 0.0000 0.0000 0.0000
Zn 2.2028 2.2028 0.0000
I 0.0000 0.0000 2.9513
N 0.0000 2.2028 2.9513
N 2.2028 0.0000 2.9513
```

***

No. 4
Here is crystalline LaZnIN2 at its relaxed geometry from Alexandria via LeMat-Bulk. Energies are from PBE-GGA.

**Crystal system**: tetragonal
**Raw total energy**: -0.155 hartree per atom
**Formation energy (no corrections)**: 64.6 kJ/mol of atoms

Structure (extended XYZ):
```
5
Lattice="4.3367 0.0000 0.0000 0.0000 4.3367 0.0000 0.0000 0.0000 5.1519" Properties=species:S:1:pos:R:3 pbc="T T T"
La 0.0000 0.0000 0.0000
Zn 2.1684 2.1684 2.5759
I 2.1684 2.1684 0.0000
N 0.0000 2.1684 2.5759
N 2.1684 0.0000 2.5759
```

***

No. 5
Here is crystalline LaZnIN2 at its relaxed geometry from Alexandria via LeMat-Bulk. Energies are from PBE-GGA.

**Crystal system**: tetragonal
**Raw total energy**: -0.157 hartree per atom
**Formation energy (no corrections)**: 59.3 kJ/mol of atoms

Structure (extended XYZ):
```
5
Lattice="4.3405 0.0000 0.0000 0.0000 4.3405 0.0000 0.0000 0.0000 6.9519" Properties=species:S:1:pos:R:3 pbc="T T T"
La 0.0000 0.0000 0.0000
Zn 2.1702 2.1702 3.4759
I 0.0000 0.0000 3.4759
N 0.0000 2.1702 0.0000
N 2.1702 0.0000 0.0000
```

***

No. 6
Here is crystalline LaZrI2N at its relaxed geometry from Alexandria via LeMat-Bulk. Energies are from PBE-GGA.

**Crystal system**: tetragonal
**Raw total energy**: -0.202 hartree per atom
**Formation energy (no corrections)**: -51.0 kJ/mol of atoms

Structure (extended XYZ):
```
5
Lattice="5.8713 0.0000 0.0000 0.0000 5.8713 0.0000 0.0000 0.0000 4.0968" Properties=species:S:1:pos:R:3 pbc="T T T"
La 0.0000 0.0000 0.0000
Zr 2.9356 2.9356 2.0484
I 0.0000 2.9356 2.0484
I 2.9356 0.0000 2.0484
N 2.9356 2.9356 0.0000
```

***

No. 7
Here is crystalline LaZrI2N at its relaxed geometry from Alexandria via LeMat-Bulk. Energies are from PBE-GGA.

**Crystal system**: tetragonal
**Raw total energy**: -0.180 hartree per atom
**Formation energy (no corrections)**: 6.7 kJ/mol of atoms

Structure (extended XYZ):
```
5
Lattice="6.4081 0.0000 0.0000 0.0000 6.4081 0.0000 0.0000 0.0000 4.1450" Properties=species:S:1:pos:R:3 pbc="T T T"
La 0.0000 0.0000 0.0000
Zr 3.2041 3.2041 2.0725
I 0.0000 3.2041 0.0000
I 3.2041 0.0000 0.0000
N 0.0000 0.0000 2.0725
```

***

No. 8
Here is crystalline LaZrIN2 at its relaxed geometry from Alexandria via LeMat-Bulk. Energies are from PBE-GGA.

**Crystal system**: tetragonal
**Raw total energy**: -0.203 hartree per atom
**Formation energy (no corrections)**: 77.2 kJ/mol of atoms

Structure (extended XYZ):
```
5
Lattice="4.3647 0.0000 0.0000 0.0000 4.3647 0.0000 0.0000 0.0000 6.1720" Properties=species:S:1:pos:R:3 pbc="T T T"
La 0.0000 0.0000 0.0000
Zr 2.1824 2.1824 3.0860
I 0.0000 0.0000 3.0860
N 0.0000 2.1824 0.0000
N 2.1824 0.0000 0.0000
```

***

No. 9
Here is crystalline LaZrIN2 at its relaxed geometry from Alexandria via LeMat-Bulk. Energies are from PBE-GGA.

**Crystal system**: tetragonal
**Raw total energy**: -0.242 hartree per atom
**Formation energy (no corrections)**: -25.0 kJ/mol of atoms

Structure (extended XYZ):
```
5
Lattice="4.3904 0.0000 0.0000 0.0000 4.3904 0.0000 0.0000 0.0000 5.5366" Properties=species:S:1:pos:R:3 pbc="T T T"
La 0.0000 0.0000 0.0000
Zr 2.1952 2.1952 2.7683
I 2.1952 2.1952 0.0000
N 0.0000 2.1952 2.7683
N 2.1952 0.0000 2.7683
```

***

No. 10
Here is crystalline NaLaI4 at its relaxed geometry from Alexandria via LeMat-Bulk. Energies are from PBE-GGA.

**Crystal system**: monoclinic
**Raw total energy**: -0.127 hartree per atom
**Formation energy (no corrections)**: -134.1 kJ/mol of atoms

Structure (extended XYZ):
```
12
Lattice="6.3977 0.0000 0.0000 0.0000 10.1696 0.0000 -3.1938 0.0000 8.7896" Properties=species:S:1:pos:R:3 pbc="T T T"
Na 1.5581 2.5424 0.0210
Na 1.6458 7.6272 8.7686
La 1.6146 7.6272 3.5061
La 1.5893 2.5424 5.2835
I -1.6095 2.5424 5.5088
I 1.6409 7.6272 0.3001
I 1.5483 0.6379 2.6219
I 1.5483 4.4469 2.6219
I 1.6557 5.7227 6.1677
I 1.6557 9.5318 6.1677
I 1.5630 2.5424 8.4895
I 4.8134 7.6272 3.2808
```

***

No. 11
Here is crystalline NaLaI4 at its relaxed geometry from Alexandria via LeMat-Bulk. Energies are from PBE-GGA.

**Crystal system**: monoclinic
**Raw total energy**: -0.128 hartree per atom
**Formation energy (no corrections)**: -137.2 kJ/mol of atoms

Structure (extended XYZ):
```
6
Lattice="7.5936 0.0000 0.0000 0.0000 4.7219 0.0000 -0.6207 0.0000 8.0735" Properties=species:S:1:pos:R:3 pbc="T T T"
Na 0.0000 0.0000 0.0000
La -0.3104 2.3610 4.0367
I 1.5772 2.3610 1.5362
I 1.4234 0.0000 5.3915
I 5.5495 0.0000 2.6819
I 5.3957 2.3610 6.5373
```

***

No. 12
Here is crystalline NaLaI2 at its relaxed geometry from Alexandria via LeMat-Bulk. Energies are from PBE-GGA.

**Crystal system**: trigonal
**Raw total energy**: -0.125 hartree per atom
**Formation energy (no corrections)**: -102.9 kJ/mol of atoms

Structure (extended XYZ):
```
4
Lattice="2.0900 1.2067 8.9163 -2.0900 1.2067 8.9163 0.0000 -2.4134 8.9163" Properties=species:S:1:pos:R:3 pbc="T T T"
Na 0.0000 0.0000 0.0000
La 0.0000 0.0000 4.4576
I 0.0000 0.0000 11.0336
I 0.0000 0.0000 15.7228
```

***

Number 1: V 34.8 A^3/atom. Number 2: V 31.1 A^3/atom. Number 3: V 22.9 A^3/atom. Number 4: V 19.4 A^3/atom. Number 5: V 26.2 A^3/atom. Number 6: V 28.2 A^3/atom. Number 7: V 34.0 A^3/atom. Number 8: V 23.5 A^3/atom. Number 9: V 21.3 A^3/atom. Number 10: V 47.7 A^3/atom. Number 11: V 48.2 A^3/atom. Number 12: V 33.7 A^3/atom.